(1)
A plane-wave DFT calculation with PBE-GGA was carried out for a geometry-optimized ZnRhPb2 structure.

Magnetic moment: 0.0 μB per formula unit
E: -0.2775 Ry/atom
Density of states at the Fermi level: 0.53 states/eV/atom
Formation enthalpy at 0 K: 0.94 eV per formula unit

Lattice parameters (Å, degrees): 5.6755 5.6755 5.6755 136.35 136.35 63.45
Fractional positions:
Zn: 0.7500 0.2500 0.5000
Pb: 0.0000 0.0000 0.0000
Pb: 0.2500 0.7500 0.5000
Rh: 0.5000 0.5000 0.0000

=====

(2)
A plane-wave DFT calculation with PBE-GGA was carried out for a geometry-optimized ZnRhPb2 structure.

Magnetic moment: 0.0 μB per formula unit
E: -0.2817 Ry/atom
Density of states at the Fermi level: 0.56 states/eV/atom
Formation enthalpy at 0 K: 0.71 eV per formula unit

Lattice parameters (Å, degrees): 4.5367 4.5367 6.3714 78.24 78.24 45.16
Fractional positions:
Pb: 0.4901 0.4901 0.5200
Pb: 0.0099 0.0099 0.9800
Rh: 0.7500 0.7500 0.7500
Zn: 0.2500 0.2500 0.2500